VASP calculation (GGA-PBEsol) on KTb3F12 after structural relaxation.

Output
total energy	-5.8718	eV per atom
ΔE_f (raw)	-3.42	eV/atom

```
KTb3F12
1.0
6.7916 -0.0479 0.0000
-2.3987 6.3541 0.0000
-2.1965 -3.1531 5.6002
F K Tb
12 1 3
direct
0.0033 0.6588 0.6621
0.9967 0.3412 0.3379
0.3412 0.0033 0.3445
0.6588 0.9967 0.6555
0.3311 0.0967 0.7776
0.3191 0.5535 0.2224
0.5535 0.3311 0.2344
0.0967 0.3191 0.7656
0.6689 0.9033 0.2224
0.6809 0.4465 0.7776
0.4465 0.6689 0.7656
0.9033 0.6809 0.2344
0.0000 0.0000 0.0000
0.5000 0.5000 0.0000
0.2500 0.7500 0.5000
0.7500 0.2500 0.5000
```


VASP calculation (GGA-PBEsol) on CuTe2As after structural relaxation.

Output
total energy	-4.0991	eV per atom
ΔE_f (raw)	0.02	eV/atom

```
CuTe2As
1.0
3.9669 0.0000 0.0000
1.9835 3.4354 0.0000
1.9835 1.1451 6.5090
As Te Cu
1 2 1
direct
0.0000 0.0000 0.0000
0.2427 0.2427 0.2718
0.7573 0.7573 0.7282
0.5000 0.5000 0.5000
```


VASP calculation (GGA-PBEsol) on LiAg3 after structural relaxation.

Output
formation enthalpy at 0 K	-114	meV per atom
total energy	-3.0894	eV per atom

```
LiAg3
1.0
2.8656 0.0000 0.0000
-1.4328 4.6798 0.0145
0.0000 -0.8215 4.8105
Ag Li
3 1
direct
0.5000 0.0000 0.5000
0.7515 0.5030 0.2479
0.2485 0.4970 0.7521
0.0000 0.0000 0.0000
```


VASP calculation (GGA-PBEsol) on LaTmTl2 after structural relaxation.

Output
formation enthalpy at 0 K	-419	meV per atom
total energy	-4.2951	eV per atom

```
LaTmTl2
1.0
-3.9957 2.8233 2.2289
-4.9022 -0.0771 -2.2063
-4.0281 -2.5467 2.4886
Tl Tm La
2 1 1
direct
0.2500 0.2500 0.2500
0.7500 0.7500 0.7500
0.0000 0.0000 0.0000
0.5000 0.5000 0.5000
```


VASP calculation (GGA-PBEsol) on CuSb after structural relaxation.

Output
total energy	-4.2416	eV per atom
ΔE_f (raw)	0.20	eV/atom

```
CuSb
1.0
2.9576 0.0000 0.0000
0.0000 3.9865 0.0000
0.0000 -1.9933 3.4524
Sb Cu
1 1
direct
0.5000 0.3333 0.6667
0.0000 0.0000 0.0000
```


VASP calculation (GGA-PBEsol) on TlGeCl3 after structural relaxation.

Output
total energy	-3.5799	eV per atom
ΔE_f (raw)	-0.86	eV/atom

```
TlGeCl3
1.0
5.5916 0.0000 0.3362
0.0000 6.8437 0.0000
-2.2747 0.0000 7.0955
Tl Ge Cl
2 2 6
direct
0.3176 0.2500 0.7098
0.6824 0.7500 0.2902
0.0894 0.2500 0.1076
0.9106 0.7500 0.8924
0.2000 0.0000 0.3232
0.8000 0.5000 0.6768
0.3222 0.7500 0.8763
0.6778 0.2500 0.1237
0.8000 0.0000 0.6768
0.2000 0.5000 0.3232
```


VASP calculation (GGA-PBEsol) on SrPb3S after structural relaxation.

Output
total energy	-2.5105	eV per atom
ΔE_f (raw)	1.13	eV/atom

```
SrPb3S
1.0
-0.2018 4.5259 3.9234
-3.9552 2.8473 -3.4881
-4.4981 -2.7067 2.8910
Pb Sr S
3 1 1
direct
0.0000 0.5000 0.0000
0.0000 0.0000 0.5000
0.5000 0.0000 0.0000
0.0000 0.0000 0.0000
0.5000 0.5000 0.5000
```


VASP calculation (GGA-PBEsol) on Lu4InRh after structural relaxation.

Output
formation enthalpy at 0 K	-594	meV per atom
total energy	-5.6957	eV per atom

```
Lu4InRh
1.0
9.2902 0.0000 0.0000
4.6451 8.0456 0.0000
4.6451 2.6819 7.5854
Lu Rh In
16 4 4
direct
0.4001 0.4001 0.7997
0.7997 0.4001 0.4001
0.4001 0.4001 0.4001
0.4001 0.7997 0.4001
0.5605 0.9395 0.9395
0.9395 0.5605 0.5605
0.5605 0.5605 0.9395
0.9395 0.9395 0.5605
0.9395 0.5605 0.9395
0.5605 0.9395 0.5605
0.1885 0.8115 0.8115
0.8115 0.1885 0.1885
0.1885 0.1885 0.8115
0.8115 0.8115 0.1885
0.8115 0.1885 0.8115
0.1885 0.8115 0.1885
0.6075 0.6075 0.1774
0.1774 0.6075 0.6075
0.6075 0.6075 0.6075
0.6075 0.1774 0.6075
0.1666 0.1666 0.5001
0.5001 0.1666 0.1666
0.1666 0.1666 0.1666
0.1666 0.5001 0.1666
```


VASP calculation (GGA-PBEsol) on TcPbNO2 after structural relaxation.

Output
total energy	-5.7926	eV per atom
ΔE_f (raw)	1.07	eV/atom

```
TcPbNO2
1.0
4.1234 0.0000 0.0000
0.0000 4.1234 0.0000
0.0000 0.0000 4.2856
Pb Tc O N
1 1 2 1
direct
0.0000 0.0000 0.0000
0.5000 0.5000 0.5000
0.0000 0.5000 0.0000
0.5000 0.0000 0.0000
0.0000 0.0000 0.5000
```


VASP calculation (GGA-PBEsol) on AlW2Cl after structural relaxation.

Output
total energy	-8.0358	eV per atom
ΔE_f (raw)	0.39	eV/atom
distance to the lowest polymorph of the same formula	0.00	kcal/mol of atoms

```
AlW2Cl
1.0
-1.0953 2.2474 -1.3430
-2.7721 0.0810 -0.6022
-2.8461 4.6078 7.0336
Al W Cl
1 2 1
direct
0.5000 0.5000 0.5000
0.2523 0.2523 0.2430
0.7477 0.7477 0.7570
0.0000 0.0000 0.0000
```


VASP calculation (GGA-PBEsol) on Fe2OsAu after structural relaxation.

Output
formation enthalpy at 0 K	310	meV per atom
total energy	-8.2066	eV per atom
distance to the lowest polymorph of the same formula	1.71	kcal/mol of atoms

```
Fe2OsAu
1.0
2.6814 0.0000 0.0000
-1.3407 4.3799 -0.0074
0.0000 -0.9319 4.4874
Au Fe Os
1 2 1
direct
0.2527 0.5054 0.7671
0.0100 0.0200 0.0087
0.7472 0.4945 0.2639
0.4901 0.9801 0.4602
```


VASP calculation (GGA-PBEsol) on YReRu3 after structural relaxation.

Output
formation enthalpy at 0 K	891	meV per atom
total energy	-9.2435	eV per atom
distance to the lowest polymorph of the same formula	0.00	kcal/mol of atoms

```
YReRu3
1.0
-0.5348 3.0051 -3.4876
-4.2948 -1.5901 -0.7115
-1.6579 3.1498 2.9682
Y Re Ru
1 1 3
direct
0.5000 0.5000 0.5000
0.0000 0.0000 0.0000
0.0000 0.5000 0.0000
0.0000 0.0000 0.5000
0.5000 0.0000 0.0000
```


The highest total energy belongs to which entry? SrPb3S


What is the total energy in the first record? -5.8718 eV per atom